## Na2PmVF8 (PBE with a Hubbard U)

Data for a relaxed Na2PmVF8 crystal.

CIF file:
```
data_Na2PmVF8
_cell_length_a 3.7606
_cell_length_b 7.4481
_cell_length_c 5.5360
_cell_angle_alpha 90.00
_cell_angle_beta 90.23
_cell_angle_gamma 90.00
_space_group_name_H-M_alt 'P 1'
_space_group_IT_number 1
loop_
_space_group_symop_operation_xyz
'x,y,z'
loop_
_atom_site_label
_atom_site_type_symbol
_atom_site_fract_x
_atom_site_fract_y
_atom_site_fract_z
Na1 Na 0.0000 0.2292 0.0000
Na2 Na 0.0000 0.7708 0.0000
Pm1 Pm 0.5000 0.5000 0.5000
V1 V 0.5000 0.0000 0.5000
F1 F 0.9996 0.5000 0.2538
F2 F 0.0004 0.5000 0.7462
F3 F 0.0042 0.0000 0.2906
F4 F 0.4971 0.2270 0.7240
F5 F 0.4971 0.7730 0.7240
F6 F 0.5029 0.2270 0.2760
F7 F 0.5029 0.7730 0.2760
F8 F 0.9958 0.0000 0.7094
```

Values from the calculation:
The calculation puts the total energy at -68.447 eV for the cell shown.